A plane-wave DFT calculation with GGA-PBE was carried out for crystalline Ca2Te at its relaxed geometry.

Unit cell a=4.3295 b=16.4643 c=6.4095 alpha=90.00 beta=90.00 gamma=90.00
Space group Cmcm (No. 63)
Inequivalent atoms, fractional coordinates:
Ca 0.0000 0.0595 0.2500
Ca 0.0000 0.3360 0.2500
Te 0.0000 0.3054 0.7500

## Properties
DOS(E_F): 4.6 states/eV per cell
uncorrected formation energy: -948.1 meV per atom